A relaxed structure of Ga2SnPt. Source: Alexandria via LeMat-Bulk, functional GGA-PBE.

Summary:
As for the energy of formation from the pure elements: -31.4 kJ/mol of atoms. As for the electronic total energy: -4.3495 eV per atom. Its space-group type is No. 11.

a = 3.976 Å, b = 5.085 Å, c = 8.038 Å
α = 90.00°, β = 90.00°, γ = 109.55°
Sites, in units of the cell vectors:
Ga1 0.653 0.276 0.043
Ga2 0.347 0.724 0.957
Ga3 0.347 0.724 0.543
Ga4 0.653 0.276 0.457
Sn1 0.930 0.866 0.250
Sn2 0.070 0.134 0.750
Pt1 0.750 0.558 0.750
Pt2 0.250 0.442 0.250